(1)
First-principles (PBE) data for a relaxed structure of TiSn2Te, as listed in the Alexandria database.

Summary:
The formation energy from raw total energies is 1.72 eV per formula unit. Its space-group type is I-42d. For the magnetization, the calculation gives 0.000 μB per atom.

a = 6.561 Å, b = 6.561 Å, c = 8.187 Å
α = 66.38°, β = 66.38°, γ = 90.00°
Atoms (fractional coordinates):
Te (0.000, 0.000, 0.000)
Te (0.750, 0.250, 0.500)
Sn (0.592, 0.125, 0.250)
Sn (0.158, 0.625, 0.250)
Sn (0.375, 0.408, 0.750)
Sn (0.875, 0.842, 0.750)
Ti (0.500, 0.500, 0.000)
Ti (0.250, 0.750, 0.500)



(2)
First-principles (PBE) data for a relaxed structure of Cu2PtSe, as listed in the Alexandria database.

Summary:
The formation energy from raw total energies is 0.35 eV per formula unit. Its space-group type is I-4m2. For the magnetization, the calculation gives 0.000 μB per atom.

a = 4.796 Å, b = 4.796 Å, c = 4.796 Å
α = 132.49°, β = 132.49°, γ = 69.46°
Atoms (fractional coordinates):
Cu (0.000, 0.000, 0.000)
Cu (0.250, 0.750, 0.500)
Pt (0.500, 0.500, 0.000)
Se (0.750, 0.250, 0.500)



(3)
First-principles (PBE) data for a relaxed structure of CeHo2TmP4, as listed in the Alexandria database.

Summary:
For the energy of formation from the pure elements, the calculation gives -1583.5 meV per atom. Its space-group type is P2/m. For the magnetization, the calculation gives 0.048 μB per atom.

a = 4.002 Å, b = 6.919 Å, c = 6.925 Å
α = 109.41°, β = 90.00°, γ = 90.00°
Atoms (fractional coordinates):
Ce (0.500, 0.500, 0.000)
Ho (0.500, 0.000, 0.500)
Ho (0.000, 0.500, 0.500)
Tm (0.000, 0.000, 0.000)
P (0.500, 0.248, 0.249)
P (0.500, 0.752, 0.751)
P (0.000, 0.247, 0.748)
P (0.000, 0.753, 0.252)



(4)
First-principles (PBE) data for a relaxed structure of AgP2W, as listed in the Alexandria database.

Summary:
Its polymorph energy (0 for the lowest one) is 235 meV/atom. For the energy of formation from the pure elements, the calculation gives 257.5 meV per atom. Its space-group type is Pm. For the magnetization, the calculation gives 0.000 μB per atom.

a = 4.599 Å, b = 3.322 Å, c = 4.383 Å
α = 77.74°, β = 90.00°, γ = 90.00°
Atoms (fractional coordinates):
Ag (0.500, 0.792, 0.732)
P (0.000, 0.971, 0.026)
P (0.500, 0.416, 0.281)
W (0.000, 0.322, 0.461)